# LaNdAl2

A relaxed LaNdAl2 crystal (PBE, the Alexandria database).

Electronic total energy, eV/cell: -18.61
Crystal system: tetragonal
ΔE to the lowest computed polymorph, meV/atom: 14.7
E_form, eV/atom: -0.3568
Spin magnetization, μB/f.u.: 0.000
Fermi-level density of states, states/eV per cell: 1.60

Lattice parameters (Å, degrees): 3.7658 3.7658 7.5315 90.00 90.00 90.00
Space group P4/mmm (No. 123)
Symmetry-distinct sites (fractional):
1 La 0.0000 0.0000 0.0000 (multiplicity 1)
2 Nd 0.0000 0.0000 0.5000 (multiplicity 1)
3 Al 0.5000 0.5000 0.2596 (multiplicity 2)